1.
AgI2 (PBE-GGA, optimized geometry); VASP energy = -2.03 eV/atom
1.0
4.323 0.000 0.000
-2.162 3.744 0.000
0.000 0.000 24.291
Ag I
4 8
direct
0.333 0.667 0.250
0.333 0.667 0.499
0.000 0.000 0.750
0.000 0.000 0.999
0.667 0.333 0.066
0.000 0.000 0.185
0.667 0.333 0.317
0.000 0.000 0.433
0.667 0.333 0.566
0.333 0.667 0.685
0.667 0.333 0.817
0.333 0.667 0.933

***

2.
Sc2Co2Sn (PBE-GGA, optimized geometry); total moment = 0.0 μB per formula unit; VASP energy = -6.22 eV/atom
1.0
-2.104 2.104 5.110
2.104 -2.104 5.110
2.104 2.104 -5.110
Co Sc Sn
2 2 1
direct
0.395 0.395 0.000
0.605 0.605 0.000
0.750 0.250 0.500
0.250 0.750 0.500
0.000 0.000 0.000

***

3.
KRb2MoCl6 (PBE-GGA, optimized geometry); total moment = 3.0 μB per formula unit; VASP energy = -4.02 eV/atom
1.0
0.000 5.375 5.375
5.375 0.000 5.375
5.375 5.375 0.000
Cl K Mo Rb
6 1 1 2
direct
0.728 0.272 0.272
0.728 0.728 0.272
0.272 0.728 0.272
0.272 0.272 0.728
0.728 0.272 0.728
0.272 0.728 0.728
0.000 0.000 0.000
0.500 0.500 0.500
0.250 0.250 0.250
0.750 0.750 0.750

***

4.
HfNiSbPd (PBE-GGA, optimized geometry); offset from the most stable computed form = 155 meV/atom; total moment = 0.0 μB per formula unit
1.0
0.000 3.264 3.264
3.264 0.000 3.264
3.264 3.264 0.000
Hf Ni Pd Sb
1 1 1 1
direct
0.250 0.250 0.250
0.750 0.750 0.750
0.500 0.500 0.500
0.000 0.000 0.000

***

5.
ReW (PBE-GGA, optimized geometry); offset from the most stable computed form = 148 meV/atom; total moment = 0.0 μB per formula unit; formation energy = 0.50 eV/f.u.
1.0
-3.011 2.566 -3.308
-1.401 -4.672 1.674
-4.065 3.524 6.434
Re W
6 6
direct
0.000 0.000 0.000
0.176 0.343 0.250
0.657 0.824 0.250
0.000 0.000 0.500
0.343 0.176 0.750
0.824 0.657 0.750
0.671 0.329 0.068
0.171 0.829 0.250
0.671 0.329 0.432
0.329 0.671 0.568
0.829 0.171 0.750
0.329 0.671 0.932

***

6.
NaYFeW (PBE-GGA, optimized geometry); offset from the most stable computed form = 393 meV/atom; total moment = 5.1 μB per formula unit
1.0
3.371 -2.816 -2.130
3.094 -2.599 2.738
-0.404 -4.861 0.194
Fe Na W Y
1 1 1 1
direct
0.000 0.000 0.000
0.750 0.750 0.750
0.500 0.500 0.500
0.250 0.250 0.250

***

7.
FeBAu (PBE-GGA, optimized geometry); total moment = 3.3 μB per formula unit; VASP energy = -5.07 eV/atom
1.0
0.000 2.809 2.809
2.809 0.000 2.809
2.809 2.809 0.000
Au B Fe
1 1 1
direct
0.000 0.000 0.000
0.250 0.250 0.250
0.750 0.750 0.750

***

8.
LiGdSeO (PBE-GGA, optimized geometry); offset from the most stable computed form = 117 meV/atom; total moment = 0.0 μB per formula unit
1.0
5.964 0.000 -0.218
0.000 7.273 0.000
-0.849 0.000 6.315
Gd Li O Se
4 4 4 4
direct
0.603 0.606 0.239
0.397 0.106 0.261
0.603 0.894 0.739
0.397 0.394 0.761
0.876 0.267 0.010
0.124 0.767 0.490
0.876 0.233 0.510
0.124 0.733 0.990
0.578 0.320 0.083
0.422 0.820 0.417
0.578 0.180 0.583
0.422 0.680 0.917
0.858 0.943 0.207
0.142 0.443 0.293
0.858 0.557 0.707
0.142 0.057 0.793

***

9.
HoMg (PBE-GGA, optimized geometry); total moment = 0.0 μB per formula unit; VASP energy = -3.06 eV/atom
1.0
2.931 5.077 0.000
-5.892 6.786 0.000
0.000 0.000 5.459
Ho Mg
5 5
direct
0.810 0.397 0.000
0.200 0.600 0.000
0.608 0.803 0.000
0.464 0.391 0.500
0.256 0.809 0.500
0.993 0.004 0.000
0.397 0.196 0.000
0.072 0.200 0.500
0.860 0.600 0.500
0.673 0.000 0.500

***

10.
SbPdW2 (PBE-GGA, optimized geometry); total moment = 0.0 μB per formula unit; VASP energy = -8.29 eV/atom
1.0
0.262 -1.497 4.337
-3.787 -1.445 2.165
-0.554 -4.467 0.926
Pd Sb W
1 1 2
direct
0.250 0.250 0.250
0.500 0.500 0.500
0.000 0.000 0.000
0.750 0.750 0.750

***

11.
KGdNO (PBE-GGA, optimized geometry); offset from the most stable computed form = 89 meV/atom; total moment = 1.0 μB per formula unit
1.0
6.814 0.000 0.000
0.000 8.764 0.000
0.000 0.000 6.089
Gd K N O
4 4 4 4
direct
0.909 0.397 0.481
0.409 0.603 0.481
0.591 0.397 0.981
0.091 0.603 0.981
0.073 0.121 0.029
0.573 0.879 0.029
0.427 0.121 0.529
0.927 0.879 0.529
0.473 0.174 0.072
0.973 0.826 0.072
0.027 0.174 0.572
0.527 0.826 0.572
0.891 0.429 0.119
0.391 0.571 0.119
0.609 0.429 0.619
0.109 0.571 0.619

***

12.
GaB4Au (PBE-GGA, optimized geometry); offset from the most stable computed form = 50 meV/atom
1.0
-1.554 2.674 3.682
1.554 -2.674 3.682
1.554 2.674 -3.682
Au B Ga
1 4 1
direct
0.000 0.000 0.000
0.569 0.241 0.328
0.087 0.759 0.328
0.913 0.241 0.672
0.431 0.759 0.672
0.500 0.500 0.000